Below is crystalline BaSr3Pd at its relaxed geometry, with properties calculated at the PBE level.

Unit cell a=7.4740 b=12.4126 c=9.3785 alpha=90.00 beta=90.00 gamma=90.00
Last column: nearest neighbours and their distance in Å.
Element x y z (fractional)
Sr  0.1528  0.0006  0.8202  2 Pd 3.09-3.21
Sr  0.3472  0.5006  0.3202  2 Pd 3.09-3.21
Sr  0.3472  0.9994  0.3202  2 Pd 3.09-3.21
Sr  0.8472  0.5006  0.1798  2 Pd 3.09-3.21
Sr  0.8472  0.9994  0.1798  2 Pd 3.09-3.21
Sr  0.6528  0.4994  0.6798  2 Pd 3.09-3.21
Sr  0.6528  0.0006  0.6798  2 Pd 3.09-3.21
Sr  0.1528  0.4994  0.8202  2 Pd 3.09-3.21
Sr  0.7554  0.2500  0.9137  2 Pd 3.73, 1 Ba 3.76, 4 Sr 3.87-4.05
Sr  0.7446  0.7500  0.4137  2 Pd 3.73, 1 Ba 3.76, 4 Sr 3.87-4.05
Sr  0.2446  0.7500  0.0863  2 Pd 3.73, 1 Ba 3.76, 4 Sr 3.87-4.05
Sr  0.2554  0.2500  0.5863  2 Pd 3.73, 1 Ba 3.76, 4 Sr 3.87-4.05
Ba  0.7950  0.2500  0.4254  2 Pd 3.53, 3 Sr 3.76-3.89
Ba  0.7050  0.7500  0.9254  2 Pd 3.53, 3 Sr 3.76-3.89
Ba  0.2050  0.7500  0.5746  2 Pd 3.53, 3 Sr 3.76-3.89
Ba  0.2950  0.2500  0.0746  2 Pd 3.53, 3 Sr 3.76-3.89
Pd  0.0000  0.0000  0.5000  4 Sr 3.09-3.21
Pd  0.5000  0.5000  0.0000  4 Sr 3.09-3.21
Pd  0.5000  0.0000  0.0000  4 Sr 3.09-3.21
Pd  0.0000  0.5000  0.5000  4 Sr 3.09-3.21

E_form	-0.191	eV/atom
distance to the lowest polymorph of the same formula	107.7	meV per atom
E_tot	-2.623	eV/atom
magnetization	0.00	μB per formula unit